Entry 1:
Density functional theory data (PBE-GGA) for PbAuSe2 after structural relaxation.

Values from the calculation:
- Mass density: 10100 kg/m³
- Calculated total energy: -3.266 eV per atom

Cell lengths 7.177, 7.177, 7.177 Å; angles 90.00, 90.00, 90.00 degrees
Space group F-43m (No. 216)
One atom of each set of equivalent atoms:
Pb 0.000 0.000 0.000 [4 per cell]
Au 0.250 0.250 0.250 [4 per cell]
Se 0.000 0.000 0.500 [4 per cell]
Se 0.250 0.250 0.750 [4 per cell]

***

Entry 2:
Density functional theory data (PBE-GGA) for Hg2TeRh2 after structural relaxation.

Values from the calculation:
- Excess energy over the best structure of this formula in the dataset: 360.7 meV per atom
- Mass density: 10771 kg/m³

Cell lengths 3.645, 3.645, 17.048 Å; angles 90.00, 90.00, 90.00 degrees
Space group I4/mmm (No. 139)
One atom of each set of equivalent atoms:
Hg 0.000 0.000 0.118 [4 per cell]
Te 0.000 0.000 0.500 [2 per cell]
Rh 0.000 0.500 0.250 [4 per cell]

***

Entry 3:
Density functional theory data (PBE-GGA) for SrCaMg2 after structural relaxation.

Values from the calculation:
- ΔE_f: -0.0295 eV/atom
- Mass density: 2150 kg/m³

Cell lengths 12.819, 3.683, 6.116 Å; angles 90.00, 109.42, 90.00 degrees
Space group Cm (No. 8)
One atom of each set of equivalent atoms:
Sr 0.000 0.000 0.000 [2 per cell]
Ca 0.295 0.500 0.358 [2 per cell]
Mg 0.046 0.500 0.527 [2 per cell]
Mg 0.245 0.000 0.821 [2 per cell]

***

Entry 4:
Density functional theory data (PBE-GGA) for Sr2Bi3 after structural relaxation.

Values from the calculation:
- ΔE_f: -0.7008 eV/atom
- Mass density: 7361 kg/m³

Cell lengths 15.666, 6.902, 6.695 Å; angles 90.00, 90.00, 90.00 degrees
Space group Pnna (No. 52)
One atom of each set of equivalent atoms:
Sr 0.000 0.250 0.250 [4 per cell]
Sr 0.250 0.000 0.060 [4 per cell]
Bi 0.069 0.750 0.250 [4 per cell]
Bi 0.154 0.063 0.579 [8 per cell]

***

Entry 5:
Density functional theory data (PBE-GGA) for La2MnGePd after structural relaxation.

Values from the calculation:
- ΔE_f: 0.2976 eV/atom
- Mass density: 5944 kg/m³

Cell lengths 5.592, 5.592, 4.572 Å; angles 90.00, 90.00, 90.00 degrees
Space group P4/mmm (No. 123)
One atom of each set of equivalent atoms:
La 0.000 0.500 0.000 [2 per cell]
Mn 0.000 0.000 0.500 [1 per cell]
Ge 0.500 0.500 0.500 [1 per cell]
Pd 0.000 0.000 0.000 [1 per cell]

***

Entry 6:
Density functional theory data (PBE-GGA) for K2CaOs after structural relaxation.

Values from the calculation:
- Excess energy over the best structure of this formula in the dataset: 0.0 meV per atom
- ΔE_f: 0.7636 eV/atom
- Mass density: 3338 kg/m³

Cell lengths 3.102, 4.937, 20.043 Å; angles 90.00, 90.00, 90.00 degrees
Space group Immm (No. 71)
One atom of each set of equivalent atoms:
K 0.000 0.000 0.150 [4 per cell]
Ca 0.000 0.500 0.000 [2 per cell]
Os 0.000 0.500 0.500 [2 per cell]

***

Entry 7:
Density functional theory data (PBE-GGA) for La2SbBr2 after structural relaxation.

Values from the calculation:
- Mass density: 6278 kg/m³
- Calculated total energy: -4.721 eV per atom

Cell lengths 8.847, 8.847, 3.781 Å; angles 90.00, 90.00, 90.00 degrees
Space group P4/mbm (No. 127)
One atom of each set of equivalent atoms:
La 0.169 0.331 0.000 [4 per cell]
Sb 0.000 0.000 0.000 [2 per cell]
Br 0.129 0.629 0.500 [4 per cell]

***

Entry 8:
Density functional theory data (PBE-GGA) for LaPmGeI after structural relaxation.

Values from the calculation:
- Excess energy over the best structure of this formula in the dataset: 265.9 meV per atom
- Mass density: 7105 kg/m³

Cell lengths 7.674, 7.674, 7.674 Å; angles 90.00, 90.00, 90.00 degrees
Space group F-43m (No. 216)
One atom of each set of equivalent atoms:
La 0.000 0.000 0.000 [4 per cell]
Pm 0.000 0.000 0.500 [4 per cell]
Ge 0.250 0.250 0.750 [4 per cell]
I 0.250 0.250 0.250 [4 per cell]

***

Entry 9:
Density functional theory data (PBE-GGA) for ScTc2Sb after structural relaxation.

Values from the calculation:
- Mass density: 8567 kg/m³
- Calculated total energy: -7.798 eV per atom

Cell lengths 3.421, 3.421, 6.008 Å; angles 90.00, 90.00, 90.00 degrees
Space group P4mm (No. 99)
One atom of each set of equivalent atoms:
Sc 0.000 0.000 0.000 [1 per cell]
Tc 0.000 0.000 0.486 [1 per cell]
Tc 0.500 0.500 0.213 [1 per cell]
Sb 0.500 0.500 0.707 [1 per cell]

***

Entry 10:
Density functional theory data (PBE-GGA) for LaSc2Mn after structural relaxation.

Values from the calculation:
- Excess energy over the best structure of this formula in the dataset: 254.6 meV per atom
- ΔE_f: 0.3347 eV/atom
- Mass density: 4818 kg/m³

Cell lengths 6.294, 10.923, 3.244 Å; angles 90.00, 118.73, 90.00 degrees
Space group C2/m (No. 12)
One atom of each set of equivalent atoms:
La 0.000 0.000 0.000 [2 per cell]
Sc 0.250 0.250 0.500 [4 per cell]
Mn 0.000 0.500 0.000 [2 per cell]

***

Entry 11:
Density functional theory data (PBE-GGA) for Pu2ZnSb2 after structural relaxation.

Values from the calculation:
- Mass density: 9810 kg/m³
- Calculated total energy: -8.070 eV per atom

Cell lengths 9.193, 8.035, 7.305 Å; angles 90.00, 90.00, 90.00 degrees
Space group P2_1/c (No. 14)
One atom of each set of equivalent atoms:
Pu 0.117 0.250 0.000 [4 per cell]
Pu 0.373 0.750 0.000 [4 per cell]
Zn 0.375 0.083 0.250 [4 per cell]
Sb 0.121 0.582 0.750 [4 per cell]
Sb 0.363 0.079 0.750 [4 per cell]

***

Entry 12:
Density functional theory data (PBE-GGA) for RbYAlPb2 after structural relaxation.

Values from the calculation:
- ΔE_f: 0.2284 eV/atom
- Mass density: 5661 kg/m³

Cell lengths 5.666, 5.666, 5.626 Å; angles 90.00, 90.00, 90.00 degrees
Space group P4/mmm (No. 123)
One atom of each set of equivalent atoms:
Rb 0.000 0.000 0.000 [1 per cell]
Y 0.500 0.500 0.000 [1 per cell]
Al 0.500 0.500 0.500 [1 per cell]
Pb 0.000 0.500 0.500 [2 per cell]

***

Question: Which formula does entry 10 have?
Answer: LaSc2Mn

***

Question: Among the records above, which one has the highest mass density?
Answer: Hg2TeRh2

***

Question: Which value of mass density does entry 7 give?
Answer: 6278 kg/m³